# 1
This record from Alexandria describes a geometry-optimized Fe12SiB5 structure. The functional is PBE.

abc: 6.0535 6.0535 6.0535
angles: 103.16 113.99 111.45
Each line ends with the local moment (μB).
Sites, in units of the cell vectors:
Fe: 0.6995 0.6764 0.3758  1.44
Fe: 0.3005 0.6764 0.9769  1.44
Fe: 0.9031 0.1839 0.7192  1.72
Fe: 0.1948 0.4294 0.2346  2.03
Fe: 0.4647 0.1839 0.2808  1.72
Fe: 0.8052 0.0397 0.2346  2.03
Fe: 0.5353 0.8161 0.7192  1.72
Fe: 0.1948 0.9603 0.7654  2.03
Fe: 0.3005 0.3236 0.6242  1.44
Fe: 0.8052 0.5706 0.7654  2.03
Fe: 0.0969 0.8161 0.2808  1.72
Fe: 0.6995 0.3236 0.0231  1.44
B: 0.5000 0.8804 0.3804  -0.12
B: 0.3616 0.3616 0.0000  -0.12
B: 0.0000 0.0000 0.0000  -0.16
B: 0.6384 0.6384 0.0000  -0.12
B: 0.5000 0.1196 0.6196  -0.12
Si: 0.0000 0.5000 0.5000  -0.09

Theoretical density = 7.39 g/cm3
Formation energy (no corrections) = -0.26 eV per atom

# 2
This record from Alexandria describes a geometry-optimized FeSiB structure. The functional is PBE.

abc: 4.4757 6.4566 4.9384
angles: 90.00 118.90 90.00
Sites, in units of the cell vectors:
Si: 0.5000 0.3036 0.0000
Si: 0.5000 0.6964 0.0000
Si: 0.5000 0.1964 0.5000
Si: 0.5000 0.8036 0.5000
B: 0.9396 0.5000 0.1523
B: 0.0604 0.5000 0.8477
B: 0.0604 0.0000 0.3477
B: 0.9396 0.0000 0.6523
Fe: 0.0000 0.2114 0.0000
Fe: 0.0000 0.2886 0.5000
Fe: 0.0000 0.7886 0.0000
Fe: 0.0000 0.7114 0.5000

Theoretical density = 5.04 g/cm3
Formation energy (no corrections) = -0.18 eV per atom

# 3
This record from Alexandria describes a geometry-optimized FeSi3B structure. The functional is PBE.

abc: 3.9876 3.9876 3.9876
angles: 90.00 90.00 90.00
Sites, in units of the cell vectors:
Si: 0.0000 0.0000 0.5000
Si: 0.5000 0.0000 0.0000
Si: 0.0000 0.5000 0.0000
B: 0.0000 0.0000 0.0000
Fe: 0.5000 0.5000 0.5000

Theoretical density = 3.95 g/cm3
Formation energy (no corrections) = 0.94 eV per atom

# 4
This record from Alexandria describes a geometry-optimized FeSi3B structure. The functional is PBE.

abc: 4.2823 4.2823 4.2823
angles: 90.00 90.00 90.00
Sites, in units of the cell vectors:
Si: 0.5000 0.0000 0.0000
Si: 0.0000 0.0000 0.5000
Si: 0.0000 0.5000 0.0000
Fe: 0.0000 0.0000 0.0000
B: 0.5000 0.5000 0.5000

Theoretical density = 3.19 g/cm3
Formation energy (no corrections) = 1.00 eV per atom

# 5
This record from Alexandria describes a geometry-optimized FeSiB structure. The functional is PBE.

abc: 5.0716 3.2639 7.0077
angles: 90.00 94.73 90.00
Sites, in units of the cell vectors:
Fe: 0.1672 0.5000 0.6403
Fe: 0.1672 0.0000 0.1403
Fe: 0.8328 0.5000 0.3597
Fe: 0.8328 0.0000 0.8597
B: 0.1374 0.0000 0.4385
B: 0.1374 0.5000 0.9385
B: 0.8626 0.5000 0.0615
B: 0.8626 0.0000 0.5615
Si: 0.3622 0.5000 0.3457
Si: 0.6378 0.0000 0.1543
Si: 0.6378 0.5000 0.6543
Si: 0.3622 0.0000 0.8457

Theoretical density = 5.44 g/cm3
Formation energy (no corrections) = -0.23 eV per atom

# 6
This record from Alexandria describes a geometry-optimized Fe2SiB structure. The functional is PBE.

abc: 2.6188 2.6188 5.2801
angles: 90.00 90.00 90.00
Sites, in units of the cell vectors:
Fe: 0.0000 0.0000 0.2265
Fe: 0.0000 0.0000 0.7735
Si: 0.5000 0.5000 0.5000
B: 0.5000 0.5000 0.0000

Theoretical density = 6.91 g/cm3
Formation energy (no corrections) = -0.24 eV per atom